# Y2ZnW

A geometry-optimized Y2ZnW structure (GGA-PBE, Alexandria).

total energy: -5.85 eV/atom
calculated formation energy: 0.94 eV per atom

Unit cell a=4.2710 b=4.2710 c=20.2824 alpha=90.00 beta=90.00 gamma=90.00
Last column: nearest neighbours and their distance in Å.
Space group I-42d (No. 122)
Asymmetric unit:
Y: 0.2442 0.2500 0.1250 [8 per cell]  2 W 2.94, 2 Zn 2.96, 4 Y 2.99-3.06
Zn: 0.0000 0.0000 0.5000 [4 per cell]  4 Y 2.96, 4 W 3.02
W: 0.0000 0.0000 0.0000 [4 per cell]  4 Y 2.94, 4 Zn 3.02